(1)
Material: LaSbIr
Method: DFT, PBE-GGA
State: optimized geometry

Cell lengths 7.542, 4.660, 8.025 Å; angles 90.00, 90.00, 90.00 degrees
Atoms (fractional coordinates):
La 0.017 0.250 0.192
La 0.483 0.750 0.692
La 0.517 0.250 0.308
La 0.983 0.750 0.808
Sb 0.175 0.250 0.585
Sb 0.325 0.750 0.085
Sb 0.675 0.250 0.915
Sb 0.825 0.750 0.415
Ir 0.203 0.750 0.408
Ir 0.297 0.250 0.908
Ir 0.703 0.750 0.092
Ir 0.797 0.250 0.592

## Properties
space-group type = No. 62
crystal system = orthorhombic
formation energy (no corrections) = -0.8919 eV/atom
uncorrected energy = -6.862 eV per atom


(2)
Material: Ac2Co3Sn5
Method: DFT, PBE-GGA
State: optimized geometry

Cell lengths 13.709, 13.709, 7.382 Å; angles 90.00, 90.00, 161.10 degrees
Atoms (fractional coordinates):
Ac 0.028 0.972 0.500
Ac 0.327 0.673 0.532
Ac 0.673 0.327 0.032
Ac 0.972 0.028 0.000
Co 0.108 0.892 0.247
Co 0.276 0.724 0.040
Co 0.448 0.552 0.288
Co 0.552 0.448 0.788
Co 0.724 0.276 0.540
Co 0.892 0.108 0.747
Sn 0.093 0.907 0.883
Sn 0.205 0.795 0.340
Sn 0.213 0.787 0.744
Sn 0.374 0.626 0.018
Sn 0.449 0.551 0.664
Sn 0.551 0.449 0.164
Sn 0.626 0.374 0.518
Sn 0.787 0.213 0.244
Sn 0.795 0.205 0.840
Sn 0.907 0.093 0.383

## Properties
space-group type = No. 36
crystal system = orthorhombic
ΔH_f (0 K) = -28.1 kJ/mol of atoms
uncorrected energy = -5.246 eV per atom


(3)
Material: Ba4Al
Method: DFT, PBE-GGA
State: optimized geometry

Cell lengths 6.735, 6.735, 6.735 Å; angles 90.00, 90.00, 90.00 degrees
Atoms (fractional coordinates):
Ba 0.000 0.000 0.000
Ba 0.000 0.500 0.500
Ba 0.500 0.000 0.500
Ba 0.500 0.500 0.000
Al 0.500 0.500 0.500

## Properties
space-group type = No. 221
crystal system = cubic
ΔH_f (0 K) = 10.0 kJ/mol of atoms
uncorrected energy = -2.183 eV per atom


(4)
Material: Sc2BN
Method: DFT, PBE-GGA
State: optimized geometry

Cell lengths 7.408, 7.408, 7.408 Å; angles 25.15, 25.15, 25.15 degrees
Atoms (fractional coordinates):
Sc 0.111 0.111 0.111
Sc 0.889 0.889 0.889
B 0.000 0.000 0.000
N 0.500 0.500 0.500

## Properties
space-group type = No. 166
crystal system = trigonal
formation energy (no corrections) = -0.1294 eV/atom
uncorrected energy = -7.046 eV per atom


(5)
Material: NaThSnN
Method: DFT, PBE-GGA
State: optimized geometry

Cell lengths 8.421, 8.421, 8.421 Å; angles 157.05, 157.05, 32.67 degrees
Atoms (fractional coordinates):
Na 0.000 0.000 0.000
Th 0.307 0.307 0.000
Sn 0.639 0.639 0.000
N 0.850 0.850 0.000

## Properties
space-group type = No. 107
crystal system = tetragonal
formation energy (no corrections) = -0.6955 eV/atom
uncorrected energy = -5.962 eV per atom


(6)
Material: CaReSb3
Method: DFT, PBE-GGA
State: optimized geometry

Cell lengths 5.276, 5.276, 5.276 Å; angles 90.00, 90.00, 90.00 degrees
Atoms (fractional coordinates):
Ca 0.000 0.000 0.000
Re 0.500 0.500 0.500
Sb 0.000 0.500 0.500
Sb 0.500 0.000 0.500
Sb 0.500 0.500 0.000

## Properties
space-group type = No. 221
crystal system = cubic
formation energy (no corrections) = 0.3327 eV/atom
uncorrected energy = -5.031 eV per atom


(7)
Material: CaMnTlGe2
Method: DFT, PBE-GGA
State: optimized geometry

Cell lengths 5.278, 5.278, 5.775 Å; angles 90.00, 90.00, 90.00 degrees
Atoms (fractional coordinates):
Ca 0.000 0.000 0.000
Mn 0.500 0.500 0.000
Tl 0.000 0.000 0.500
Ge 0.000 0.500 0.500
Ge 0.500 0.000 0.500

## Properties
space-group type = No. 123
crystal system = tetragonal
ΔH_f (0 K) = 147.8 kJ/mol of atoms
uncorrected energy = -3.023 eV per atom


(8)
Material: HgW
Method: DFT, PBE-GGA
State: optimized geometry

Cell lengths 7.396, 7.396, 7.396 Å; angles 90.00, 90.00, 90.00 degrees
Atoms (fractional coordinates):
Hg 0.000 0.250 0.500
Hg 0.000 0.750 0.500
Hg 0.250 0.500 0.000
Hg 0.500 0.000 0.250
Hg 0.500 0.000 0.750
Hg 0.750 0.500 0.000
W 0.000 0.500 0.250
W 0.000 0.500 0.750
W 0.250 0.000 0.500
W 0.500 0.250 0.000
W 0.500 0.750 0.000
W 0.750 0.000 0.500

## Properties
space-group type = No. 223
crystal system = cubic
ΔH_f (0 K) = 270.3 kJ/mol of atoms
uncorrected energy = -3.826 eV per atom